(1)
SmLu2Cu4Ge4: optimized geometry, GGA-PBE.

Summary:
Final energy   -53.87 eV for the cell shown
Total moment   0.00 μB per formula unit

```
SmLu2Cu4Ge4
1.0
-2.070 3.357 6.911
2.070 -3.357 6.911
2.070 3.357 -6.911
Sm Lu Cu Ge
1 2 4 4
Direct
0.000 0.000 0.000 Sm
0.371 0.871 0.500 Lu
0.629 0.129 0.500 Lu
0.021 0.330 0.691 Cu
0.362 0.670 0.691 Cu
0.638 0.330 0.309 Cu
0.979 0.670 0.309 Cu
0.219 0.219 0.000 Ge
0.312 0.500 0.812 Ge
0.688 0.500 0.188 Ge
0.781 0.781 0.000 Ge
```

(2)
IrF4: optimized geometry, GGA-PBE.

Summary:
Excess energy over the best structure of this formula in the dataset   6.7 meV per atom
Final energy   -45.24 eV for the cell shown
Total moment   1.00 μB per formula unit

```
IrF4
1.0
5.055 0.000 0.000
0.000 4.790 0.000
-2.566 0.000 4.592
Ir F
2 8
Direct
0.000 0.000 0.000 Ir
0.000 0.500 0.500 Ir
0.139 0.154 0.396 F
0.139 0.346 0.896 F
0.378 0.671 0.604 F
0.378 0.829 0.104 F
0.622 0.171 0.896 F
0.622 0.329 0.396 F
0.861 0.654 0.104 F
0.861 0.846 0.604 F
```

(3)
NiSb2Te: optimized geometry, GGA-PBE.

Summary:
Final energy   -15.15 eV for the cell shown
Total moment   0.05 μB per formula unit

```
NiSb2Te
1.0
0.000 3.578 3.578
3.578 0.000 3.578
3.578 3.578 0.000
Ni Sb Te
1 2 1
Direct
0.000 0.000 0.000 Ni
0.250 0.250 0.250 Sb
0.500 0.500 0.500 Sb
0.750 0.750 0.750 Te
```

(4)
AlIn2Mo: optimized geometry, GGA-PBE.

Summary:
Final energy   -17.67 eV for the cell shown
Total moment   0.17 μB per formula unit

```
AlIn2Mo
1.0
0.000 3.381 3.381
3.381 0.000 3.381
3.381 3.381 0.000
Al In Mo
1 2 1
Direct
0.000 0.000 0.000 Al
0.250 0.250 0.250 In
0.500 0.500 0.500 In
0.750 0.750 0.750 Mo
```